Entry from Alexandria via LeMat-Bulk: an optimized crystal structure of Rb2Hf2AgTe6 (PBE).

a = 7.2847 Å, b = 7.2847 Å, c = 9.1338 Å
α = 97.21°, β = 97.21°, γ = 120.35°
Positions (direct):
Rb1 0.8390 0.1610 0.0000
Rb2 0.1610 0.8390 0.0000
Hf1 0.3322 0.6678 0.5000
Hf2 0.6678 0.3322 0.5000
Ag1 0.0000 0.0000 0.5000
Te1 0.7085 0.7085 0.6890
Te2 0.0621 0.4083 0.6893
Te3 0.2915 0.2915 0.3110
Te4 0.4083 0.0621 0.6893
Te5 0.9379 0.5917 0.3107
Te6 0.5917 0.9379 0.3107

Properties
The total magnetic moment is 0.0 μB/f.u. The value obtained for the formation energy without anion corrections is -8.0 eV/f.u. The mass density is 5.75 g cm⁻³. The calculation puts the density of states at the Fermi level at 6.31 states/eV per cell.